(1)
The following is a PBE-GGA calculation of an optimized crystal structure of CrTcMo, from Alexandria via LeMat-Bulk.

Results
* symmetry: F-43m, No. 216
* D(E_F): 1.418 states/eV per atom
* calculated formation energy: 0.645 eV/atom

Cell lengths 4.081, 4.081, 4.081 Å; angles 60.00, 60.00, 60.00 degrees
Fractional positions:
Cr 0.000 0.000 0.000
Tc 0.250 0.250 0.250
Mo 0.750 0.750 0.750

---

(2)
The following is a PBE-GGA calculation of an optimized crystal structure of CrTcMo4, from Alexandria via LeMat-Bulk.

Results
* symmetry: F-43m, No. 216
* D(E_F): 0.902 states/eV per atom
* calculated formation energy: 0.421 eV/atom

Cell lengths 5.167, 5.167, 5.167 Å; angles 60.00, 60.00, 60.00 degrees
Fractional positions:
Cr 0.000 0.000 0.000
Tc 0.750 0.750 0.750
Mo 0.375 0.375 0.375
Mo 0.375 0.375 0.875
Mo 0.375 0.875 0.375
Mo 0.875 0.375 0.375

---

(3)
The following is a PBE-GGA calculation of an optimized crystal structure of CrTcMo, from Alexandria via LeMat-Bulk.

Results
* symmetry: P3m1, No. 156
* D(E_F): 1.248 states/eV per atom
* calculated formation energy: 0.103 eV/atom

Cell lengths 4.280, 4.280, 2.681 Å; angles 90.00, 90.00, 120.00 degrees
Fractional positions:
Cr 0.000 0.000 0.000
Tc 0.333 0.667 0.661
Mo 0.667 0.333 0.309

---

(4)
The following is a PBE-GGA calculation of an optimized crystal structure of CrTc2Mo, from Alexandria via LeMat-Bulk.

Results
* symmetry: Cmmm, No. 65
* D(E_F): 1.369 states/eV per atom
* calculated formation energy: 0.129 eV/atom

Cell lengths 2.668, 2.668, 8.532 Å; angles 90.00, 90.00, 109.45 degrees
Fractional positions:
Cr 0.000 0.000 0.000
Tc 0.500 0.500 0.235
Tc 0.500 0.500 0.765
Mo 0.000 0.000 0.500

---

(5)
The following is a PBE-GGA calculation of an optimized crystal structure of CrTc2Mo, from Alexandria via LeMat-Bulk.

Results
* symmetry: C2/m, No. 12
* D(E_F): 1.182 states/eV per atom
* calculated formation energy: 0.142 eV/atom

Cell lengths 5.069, 5.069, 2.664 Å; angles 100.52, 100.52, 116.65 degrees
Fractional positions:
Cr 0.000 0.000 0.000
Tc 0.000 0.500 0.500
Tc 0.500 0.000 0.500
Mo 0.500 0.500 0.000

---

(6)
The following is a PBE-GGA calculation of an optimized crystal structure of CrTcMo2, from Alexandria via LeMat-Bulk.

Results
* symmetry: R-3m, No. 166
* D(E_F): 1.276 states/eV per atom
* calculated formation energy: 0.334 eV/atom

Cell lengths 8.520, 8.520, 8.520 Å; angles 19.33, 19.33, 19.33 degrees
Fractional positions:
Cr 0.000 0.000 0.000
Tc 0.500 0.500 0.500
Mo 0.254 0.254 0.254
Mo 0.746 0.746 0.746

---

(7)
The following is a PBE-GGA calculation of an optimized crystal structure of CrTcMo2, from Alexandria via LeMat-Bulk.

Results
* symmetry: C2/m, No. 12
* D(E_F): 1.086 states/eV per atom
* calculated formation energy: 0.093 eV/atom

Cell lengths 5.093, 5.093, 2.682 Å; angles 100.10, 100.10, 116.80 degrees
Fractional positions:
Cr 0.000 0.000 0.000
Tc 0.500 0.500 0.000
Mo 0.000 0.500 0.500
Mo 0.500 0.000 0.500

---

(8)
The following is a PBE-GGA calculation of an optimized crystal structure of Cr3TcMo, from Alexandria via LeMat-Bulk.

Results
* symmetry: Pm-3m, No. 221
* D(E_F): 1.199 states/eV per atom
* calculated formation energy: 1.651 eV/atom

Cell lengths 4.357, 4.357, 4.357 Å; angles 90.00, 90.00, 90.00 degrees
Fractional positions:
Cr 0.000 0.000 0.500
Cr 0.000 0.500 0.000
Cr 0.500 0.000 0.000
Tc 0.000 0.000 0.000
Mo 0.500 0.500 0.500

---

(9)
The following is a PBE-GGA calculation of an optimized crystal structure of CrTc2Mo, from Alexandria via LeMat-Bulk.

Results
* symmetry: Immm, No. 71
* D(E_F): 0.829 states/eV per atom
* calculated formation energy: 0.107 eV/atom

Cell lengths 5.071, 5.071, 5.071 Å; angles 145.46, 128.73, 63.30 degrees
Fractional positions:
Cr 0.000 0.000 0.000
Tc 0.232 0.732 0.500
Tc 0.768 0.268 0.500
Mo 0.500 0.500 0.000

---

(10)
The following is a PBE-GGA calculation of an optimized crystal structure of CrTc2Mo, from Alexandria via LeMat-Bulk.

Results
* symmetry: R3m, No. 160
* D(E_F): 1.264 states/eV per atom
* calculated formation energy: 0.249 eV/atom

Cell lengths 9.059, 9.059, 9.059 Å; angles 17.34, 17.34, 17.34 degrees
Fractional positions:
Cr 0.000 0.000 0.000
Tc 0.256 0.256 0.256
Tc 0.505 0.505 0.505
Mo 0.751 0.751 0.751

---

(11)
The following is a PBE-GGA calculation of an optimized crystal structure of CrTcMo, from Alexandria via LeMat-Bulk.

Results
* symmetry: I4mm, No. 107
* D(E_F): 1.182 states/eV per atom
* calculated formation energy: 0.075 eV/atom

Cell lengths 5.052, 5.052, 5.052 Å; angles 144.92, 144.92, 50.45 degrees
Fractional positions:
Cr 0.000 0.000 0.000
Tc 0.335 0.335 0.000
Mo 0.658 0.658 0.000

---

(12)
The following is a PBE-GGA calculation of an optimized crystal structure of CrTcMo2, from Alexandria via LeMat-Bulk.

Results
* symmetry: P2/m, No. 10
* D(E_F): 0.991 states/eV per atom
* calculated formation energy: 0.085 eV/atom

Cell lengths 2.685, 4.319, 5.119 Å; angles 90.00, 100.06, 90.00 degrees
Fractional positions:
Cr 0.000 0.000 0.000
Tc 0.500 0.000 0.500
Mo 0.245 0.500 0.756
Mo 0.755 0.500 0.244

---

(13)
The following is a PBE-GGA calculation of an optimized crystal structure of CrTcMo2, from Alexandria via LeMat-Bulk.

Results
* symmetry: Pm, No. 6
* D(E_F): 1.008 states/eV per atom
* calculated formation energy: 0.086 eV/atom

Cell lengths 2.684, 4.331, 5.110 Å; angles 90.00, 100.02, 90.00 degrees
Fractional positions:
Cr 0.000 0.000 0.000
Tc 0.273 0.500 0.748
Mo 0.521 0.000 0.501
Mo 0.766 0.500 0.234

---

(14)
The following is a PBE-GGA calculation of an optimized crystal structure of CrTcMo2, from Alexandria via LeMat-Bulk.

Results
* symmetry: R3m, No. 160
* D(E_F): 0.774 states/eV per atom
* calculated formation energy: 0.313 eV/atom

Cell lengths 9.262, 9.262, 9.262 Å; angles 17.00, 17.00, 17.00 degrees
Fractional positions:
Cr 0.000 0.000 0.000
Tc 0.259 0.259 0.259
Mo 0.507 0.507 0.507
Mo 0.749 0.749 0.749

---

(15)
The following is a PBE-GGA calculation of an optimized crystal structure of CrTcMo2, from Alexandria via LeMat-Bulk.

Results
* symmetry: P4/mmm, No. 123
* D(E_F): 0.736 states/eV per atom
* calculated formation energy: 0.043 eV/atom

Cell lengths 3.065, 3.065, 6.185 Å; angles 90.00, 90.00, 90.00 degrees
Fractional positions:
Cr 0.000 0.000 0.000
Tc 0.000 0.000 0.500
Mo 0.500 0.500 0.237
Mo 0.500 0.500 0.763

---

(16)
The following is a PBE-GGA calculation of an optimized crystal structure of CrTcMo2, from Alexandria via LeMat-Bulk.

Results
* symmetry: F-43m, No. 216
* D(E_F): 1.077 states/eV per atom
* calculated formation energy: 0.085 eV/atom

Cell lengths 4.358, 4.358, 4.358 Å; angles 60.00, 60.00, 60.00 degrees
Fractional positions:
Cr 0.000 0.000 0.000
Tc 0.750 0.750 0.750
Mo 0.250 0.250 0.250
Mo 0.500 0.500 0.500

---

(17)
The following is a PBE-GGA calculation of an optimized crystal structure of CrTcMo3, from Alexandria via LeMat-Bulk.

Results
* symmetry: P-1, No. 2
* D(E_F): 1.044 states/eV per atom
* calculated formation energy: 0.072 eV/atom

Cell lengths 5.132, 5.141, 6.754 Å; angles 69.77, 77.84, 62.83 degrees
Fractional positions:
Cr 0.155 0.245 0.198
Cr 0.845 0.755 0.802
Tc 0.248 0.748 0.000
Tc 0.752 0.252 0.000
Mo 0.052 0.752 0.399
Mo 0.339 0.256 0.809
Mo 0.451 0.752 0.601
Mo 0.549 0.248 0.399
Mo 0.661 0.744 0.191
Mo 0.948 0.248 0.601

---

(18)
The following is a PBE-GGA calculation of an optimized crystal structure of CrTcMo2, from Alexandria via LeMat-Bulk.

Results
* symmetry: P4mm, No. 99
* D(E_F): 0.980 states/eV per atom
* calculated formation energy: 0.229 eV/atom

Cell lengths 2.757, 2.757, 7.762 Å; angles 90.00, 90.00, 90.00 degrees
Fractional positions:
Cr 0.000 0.000 0.000
Tc 0.500 0.500 0.802
Mo 0.000 0.000 0.534
Mo 0.500 0.500 0.245

---

(19)
The following is a PBE-GGA calculation of an optimized crystal structure of CrTcMo2, from Alexandria via LeMat-Bulk.

Results
* symmetry: Fm-3m, No. 225
* D(E_F): 1.041 states/eV per atom
* calculated formation energy: 0.068 eV/atom

Cell lengths 4.353, 4.353, 4.353 Å; angles 60.00, 60.00, 60.00 degrees
Fractional positions:
Cr 0.000 0.000 0.000
Tc 0.500 0.500 0.500
Mo 0.250 0.250 0.250
Mo 0.750 0.750 0.750

---

(20)
The following is a PBE-GGA calculation of an optimized crystal structure of CrTc2Mo, from Alexandria via LeMat-Bulk.

Results
* symmetry: Pmm2, No. 25
* D(E_F): 1.282 states/eV per atom
* calculated formation energy: 0.220 eV/atom

Cell lengths 2.744, 3.832, 5.464 Å; angles 90.00, 90.00, 90.00 degrees
Fractional positions:
Cr 0.000 0.000 0.000
Tc 0.000 0.000 0.512
Tc 0.500 0.500 0.764
Mo 0.500 0.500 0.251